Density functional theory data (PBE) for CsSrMoPd2 after structural relaxation.

Cell and atoms, written as POSCAR:
```
CsSrMoPd2
1.0
5.580 0.000 0.000
0.000 6.261 0.000
0.000 0.000 5.580
Cs Pd Mo Sr
1 2 1 1
Direct
0.500 0.500 0.500
0.500 0.000 0.000
0.000 0.000 0.500
0.000 0.500 0.000
0.000 0.000 0.000
```

Results
**Energy relative to the elements**: 1300 meV per atom
**D(E_F)**: 2.63 states/eV per cell
**ρ**: 4.5 Mg/m³